Entry 1:
A plane-wave DFT calculation with PBE-GGA was carried out for crystalline Li3Pr2NdSn3 at its relaxed geometry.

Calculated values
For the total energy, the calculation gives -4.19 eV/atom.

The structure in CIF format:
```
data_Li3Pr2NdSn3
_chemical_formula_sum 'Li3 Pr2 Nd1 Sn3'
_space_group_name_H-M_alt 'P -6 m 2'
_space_group_IT_number 187
_space_group_name_Hall 'P -6 2'
_cell_length_a 4.7963
_cell_length_b 4.7963
_cell_length_c 11.4996
_cell_angle_alpha 90.00
_cell_angle_beta 90.00
_cell_angle_gamma 120.00
loop_
_atom_site_label
_atom_site_fract_x
_atom_site_fract_y
_atom_site_fract_z
Li1 0.0000 0.0000 0.0000
Li2 0.6667 0.3333 0.3114
Pr1 0.3333 0.6667 0.1645
Nd1 0.3333 0.6667 0.5000
Sn1 0.0000 0.0000 0.3282
Sn2 0.6667 0.3333 0.0000
```


Entry 2:
A plane-wave DFT calculation with PBE-GGA was carried out for crystalline Li4NdPt2 at its relaxed geometry.

Calculated values
For the total energy, the calculation gives -4.09 eV/atom.

The structure in CIF format:
```
data_Li4NdPt2
_chemical_formula_sum 'Li8 Nd2 Pt4'
_space_group_name_H-M_alt 'P 42/m n m'
_space_group_IT_number 136
_space_group_name_Hall '-P 4n 2n'
_cell_length_a 7.5960
_cell_length_b 7.5960
_cell_length_c 4.1847
_cell_angle_alpha 90.00
_cell_angle_beta 90.00
_cell_angle_gamma 90.00
loop_
_atom_site_label
_atom_site_fract_x
_atom_site_fract_y
_atom_site_fract_z
Li1 0.0981 0.3492 0.0000
Nd1 0.0000 0.0000 0.5000
Pt1 0.2104 0.7896 0.0000
```


Entry 3:
A plane-wave DFT calculation with PBE-GGA was carried out for crystalline LiNdPu at its relaxed geometry.

Calculated values
The value obtained for the relative energy among the computed polymorphs is 0.000 eV/f.u.

The structure in CIF format:
```
data_LiNdPu
_chemical_formula_sum 'Li4 Nd4 Pu4'
_space_group_name_H-M_alt 'F -4 3 m'
_space_group_IT_number 216
_space_group_name_Hall 'F -4 2 3'
_cell_length_a 7.0410
_cell_length_b 7.0410
_cell_length_c 7.0410
_cell_angle_alpha 90.00
_cell_angle_beta 90.00
_cell_angle_gamma 90.00
loop_
_atom_site_label
_atom_site_fract_x
_atom_site_fract_y
_atom_site_fract_z
Li1 0.0000 0.0000 0.0000
Nd1 0.2500 0.2500 0.2500
Pu1 0.2500 0.2500 0.7500
```


Entry 4:
A plane-wave DFT calculation with PBE-GGA was carried out for crystalline RbLiNd at its relaxed geometry.

Calculated values
The value obtained for the relative energy among the computed polymorphs is 0.000 eV/f.u.

The structure in CIF format:
```
data_RbLiNd
_chemical_formula_sum 'Rb4 Li4 Nd4'
_space_group_name_H-M_alt 'F -4 3 m'
_space_group_IT_number 216
_space_group_name_Hall 'F -4 2 3'
_cell_length_a 8.0491
_cell_length_b 8.0491
_cell_length_c 8.0491
_cell_angle_alpha 90.00
_cell_angle_beta 90.00
_cell_angle_gamma 90.00
loop_
_atom_site_label
_atom_site_fract_x
_atom_site_fract_y
_atom_site_fract_z
Rb1 0.0000 0.0000 0.0000
Li1 0.2500 0.2500 0.7500
Nd1 0.0000 0.0000 0.5000
```